# Mg5In4Ga GGA-PBE relaxed
data_Mg5In4Ga
_chemical_formula_sum 'Mg5 In4 Ga1'
_symmetry_space_group_name_H-M 'P 4/m m m'
_symmetry_Int_Tables_number 123
_symmetry_space_group_name_Hall '-P 4 2'
_cell_length_a 3.5216
_cell_length_b 3.5216
_cell_length_c 18.3934
_cell_angle_alpha 90.00
_cell_angle_beta 90.00
_cell_angle_gamma 90.00
loop_
_atom_site_label
_atom_site_type_symbol
_atom_site_fract_x
_atom_site_fract_y
_atom_site_fract_z
Mg1 Mg 0.0000 0.0000 0.0000
Mg2 Mg 0.0000 0.0000 0.2075
Mg3 Mg 0.0000 0.0000 0.4135
In1 In 0.5000 0.5000 0.1041
In2 In 0.5000 0.5000 0.3102
Ga1 Ga 0.5000 0.5000 0.5000
# spin magnetization: 0.00 μB per atom
# crystal system: tetragonal
# ΔH_f (0 K): -87 meV/atom
# DOS(E_F): 2.124 states/eV/cell